Computed, not measured: a relaxed structure of LiMnPO4 at the PBE with a Hubbard U level of DFT.

As for the calculated total energy: -199.4 eV/cell. The polymorph energy (0 for the lowest one) is 0.060 eV/atom. For the density of states at the Fermi level, the calculation gives 0.000 states/eV/atom.

a b c (Å): 8.3603 9.1001 5.3407
angles (deg): 90.00 90.00 90.00
Closest atoms and distances in Å follow each position.
Atoms (fractional coordinates):
Li (0.0743, 0.0742, 0.0000)  3 O 1.92-2.14
Li (0.4257, 0.5742, 0.5000)  3 O 1.92-2.14
Li (0.5743, 0.4258, 0.0000)  3 O 1.92-2.14
Li (0.9257, 0.9258, 0.5000)  3 O 1.92-2.14
Mn (0.1593, 0.5278, 0.1547)  4 O 2.06-2.14
Mn (0.3407, 0.0278, 0.6547)  4 O 2.06-2.14
Mn (0.6593, 0.9722, 0.1547)  4 O 2.06-2.14
Mn (0.8407, 0.4722, 0.6547)  4 O 2.06-2.14
P (0.2313, 0.3730, 0.7148)  4 O 1.54-1.57
P (0.2687, 0.8730, 0.2148)  4 O 1.54-1.57
P (0.7313, 0.1270, 0.7148)  4 O 1.54-1.57
P (0.7687, 0.6270, 0.2148)  4 O 1.54-1.57
O (0.0716, 0.4487, 0.8024)  1 P 1.57
O (0.1362, 0.9564, 0.3636)  1 P 1.56
O (0.2187, 0.2088, 0.7868)  1 P 1.55
O (0.2366, 0.8959, 0.9328)  1 P 1.54
O (0.2634, 0.3959, 0.4328)  1 P 1.54
O (0.2813, 0.7088, 0.2868)  1 P 1.55
O (0.3638, 0.4564, 0.8636)  1 P 1.56
O (0.4284, 0.9487, 0.3024)  1 P 1.57
O (0.5716, 0.0513, 0.8024)  1 P 1.57
O (0.6362, 0.5436, 0.3636)  1 P 1.56
O (0.7187, 0.2912, 0.7868)  1 P 1.55
O (0.7366, 0.6041, 0.9328)  1 P 1.54
O (0.7634, 0.1041, 0.4328)  1 P 1.54
O (0.7813, 0.7912, 0.2868)  1 P 1.55
O (0.8638, 0.0436, 0.8636)  1 P 1.56
O (0.9284, 0.5513, 0.3024)  1 P 1.57